{"formula": "VRuO3", "functional": "GGA+U", "state": "optimized geometry", "lattice": [[3.816, 0.000, 0.000], [0.000, 3.816, 0.000], [0.000, 0.000, 3.816]], "species": ["Ru", "O", "V", "O", "O"], "fractional_positions": [[0.500, 0.500, 0.500], [0.500, 0.000, 0.000], [0.000, 0.000, 0.000], [0.000, 0.500, 0.000], [0.000, 0.000, 0.500]], "magmom_total_mub_per_cell": 4.49, "e_tot_ev_per_atom": -6.9816, "crystal_system": "cubic"}